Ta2TlMo | GGA-PBE | optimized geometry

Properties
Final energy, eV/cell: -35.30
Total magnetization, μB per cell: 0.000

abc: 5.5241 5.5241 2.8858
angles: 80.43 80.43 117.19
Last column: nearest neighbours and their distance in Å.
Positions (direct):
Mo 0.0000 0.5000 0.5000  2 Tl 2.88, 2 Mo 2.89, 4 Ta 2.90
Ta 0.0000 0.0000 0.0000  4 Ta 2.88-2.89, 2 Tl 2.90, 2 Mo 2.90
Ta 0.5000 0.5000 0.0000  4 Ta 2.88-2.89, 2 Mo 2.90, 2 Tl 2.90
Tl 0.5000 0.0000 0.5000  2 Mo 2.88, 2 Tl 2.89, 4 Ta 2.90

=====

Ta2TlMo | GGA-PBE | optimized geometry

Properties
Final energy, eV/cell: -35.41
Total magnetization, μB per cell: 0.000

abc: 4.4070 4.4070 3.7837
angles: 90.00 90.00 90.02
Last column: nearest neighbours and their distance in Å.
Positions (direct):
Mo 0.0000 0.5000 0.5000  8 Ta 2.90, 4 Tl 3.12
Ta 0.0000 0.0000 0.0000  4 Tl 2.90, 4 Mo 2.90, 4 Ta 3.12
Ta 0.5000 0.5000 0.0000  4 Mo 2.90, 4 Tl 2.90, 4 Ta 3.12
Tl 0.5000 0.0000 0.5000  8 Ta 2.90, 4 Mo 3.12

=====

Ta2TlMo | GGA-PBE | optimized geometry

Properties
Final energy, eV/cell: -34.85
Total magnetization, μB per cell: 0.000

abc: 4.7188 4.7188 4.7188
angles: 60.00 60.00 60.00
Last column: nearest neighbours and their distance in Å.
Positions (direct):
Tl 0.5000 0.5000 0.5000  8 Ta 2.89
Mo 0.0000 0.0000 0.0000  8 Ta 2.89
Ta 0.2500 0.2500 0.2500  4 Tl 2.89, 4 Mo 2.89
Ta 0.7500 0.7500 0.7500  4 Tl 2.89, 4 Mo 2.89

=====

Ta2TlMo | GGA-PBE | optimized geometry

Properties
Final energy, eV/cell: -35.70
Total magnetization, μB per cell: 0.000

abc: 2.9566 2.9566 9.3106
angles: 90.00 90.00 110.96
Last column: nearest neighbours and their distance in Å.
Positions (direct):
Mo 0.5000 0.5000 0.7678  2 Ta 2.67, 2 Tl 2.95, 4 Mo 2.96
Ta 0.0000 0.0000 0.9909  2 Mo 2.67, 6 Ta 2.82-2.96
Ta 0.5000 0.5000 0.2346  6 Ta 2.82-2.96, 2 Tl 3.04
Tl 0.0000 0.0000 0.5067  2 Mo 2.95, 4 Tl 2.96, 2 Ta 3.04

=====

Ta2TlMo | GGA-PBE | optimized geometry

Properties
Final energy, eV/cell: -34.95
Total magnetization, μB per cell: 0.000

abc: 2.8635 2.8635 9.2321
angles: 90.00 90.00 90.00
Last column: nearest neighbours and their distance in Å.
Positions (direct):
Mo 0.5000 0.5000 0.7500  4 Mo 2.86, 8 Ta 2.99
Ta 0.0000 0.0000 0.9886  4 Ta 2.86, 4 Mo 2.99, 4 Tl 3.15
Ta 0.0000 0.0000 0.5114  4 Ta 2.86, 4 Mo 2.99, 4 Tl 3.15
Tl 0.5000 0.5000 0.2500  4 Tl 2.86, 8 Ta 3.15

=====

Ta2TlMo | GGA-PBE | optimized geometry

Properties
Final energy, eV/cell: -35.59
Total magnetization, μB per cell: 0.000

abc: 5.4785 5.4785 5.4785
angles: 143.51 129.63 63.78
Last column: nearest neighbours and their distance in Å.
Positions (direct):
Mo 0.2352 0.7352 0.5000  6 Ta 2.71-2.90, 2 Tl 2.96
Ta 0.0091 0.0091 0.0000  2 Mo 2.71, 2 Ta 2.87, 4 Tl 2.90
Ta 0.7611 0.2611 0.5000  2 Ta 2.87, 4 Mo 2.90, 4 Tl 3.01-3.19
Tl 0.4946 0.4946 0.0000  8 Ta 2.90-3.19, 4 Mo 2.96-3.23

=====

Ta2TlMo | GGA-PBE | optimized geometry

Properties
Final energy, eV/cell: -34.99
Total magnetization, μB per cell: 0.000

abc: 2.8505 2.8505 9.3649
angles: 90.00 90.00 90.00
Last column: nearest neighbours and their distance in Å.
Positions (direct):
Mo 0.5000 0.5000 0.7561  4 Mo 2.85, 4 Ta 3.03, 4 Tl 3.10
Ta 0.0000 0.0000 0.9979  8 Ta 2.85-3.04, 4 Mo 3.03
Ta 0.5000 0.5000 0.2412  8 Ta 2.85-3.04, 4 Tl 3.19
Tl 0.0000 0.0000 0.5048  4 Tl 2.85, 4 Mo 3.10, 4 Ta 3.19

=====

Ta2TlMo | GGA-PBE | optimized geometry

Properties
Final energy, eV/cell: -35.75
Total magnetization, μB per cell: 0.000

abc: 5.4003 5.4003 5.4003
angles: 142.18 128.97 65.23
Last column: nearest neighbours and their distance in Å.
Positions (direct):
Mo 0.2500 0.7500 0.5000  4 Ta 2.74, 4 Tl 2.91
Ta 0.0183 0.0183 0.0000  2 Mo 2.74, 4 Ta 2.93, 2 Tl 3.00
Ta 0.4817 0.4817 0.0000  2 Mo 2.74, 4 Ta 2.93, 2 Tl 3.00
Tl 0.7500 0.2500 0.5000  4 Mo 2.91, 8 Ta 3.00-3.14

=====

Ta2TlMo | GGA-PBE | optimized geometry

Properties
Final energy, eV/cell: -66.59
Total magnetization, μB per cell: 0.000

abc: 7.6180 7.6180 6.0826
angles: 51.23 51.23 90.00
Last column: nearest neighbours and their distance in Å.
Positions (direct):
Tl 0.0000 0.0000 0.0000  2 Mo 2.83, 4 Ta 3.00
Tl 0.7500 0.2500 0.5000  2 Mo 2.83, 4 Ta 3.00
Mo 0.5000 0.5000 0.0000  4 Ta 2.58, 2 Tl 2.83
Mo 0.2500 0.7500 0.5000  4 Ta 2.58, 2 Tl 2.83
Ta 0.5845 0.1250 0.2500  2 Mo 2.58, 2 Ta 2.89
Ta 0.1655 0.6250 0.2500  2 Mo 2.58, 2 Ta 2.89
Ta 0.3750 0.4155 0.7500  2 Mo 2.58, 2 Ta 2.89
Ta 0.8750 0.8345 0.7500  2 Mo 2.58, 2 Ta 2.89

=====

Ta2TlMo | GGA-PBE | optimized geometry

Properties
Final energy, eV/cell: -35.42
Total magnetization, μB per cell: 0.000

abc: 3.6156 4.4926 4.5171
angles: 90.00 90.00 90.00
Last column: nearest neighbours and their distance in Å.
Positions (direct):
Mo 0.0000 0.5000 0.5000  4 Tl 2.88, 8 Ta 2.89-3.19
Ta 0.0000 0.0000 0.0000  4 Ta 2.88, 4 Tl 2.89, 4 Mo 3.19
Ta 0.5000 0.5000 0.0000  4 Ta 2.88, 4 Mo 2.89, 4 Tl 3.19
Tl 0.5000 0.0000 0.5000  4 Mo 2.88, 8 Ta 2.89-3.19

=====

Ta4TlMo | GGA-PBE | optimized geometry

Properties
Final energy, eV/cell: -57.36
Total magnetization, μB per cell: 0.001

abc: 5.4660 5.4660 5.4660
angles: 60.00 60.00 60.00
Last column: nearest neighbours and their distance in Å.
Positions (direct):
Ta 0.8788 0.3737 0.3737  6 Ta 2.71-2.76
Ta 0.3737 0.3737 0.8788  6 Ta 2.71-2.76
Ta 0.3737 0.8788 0.3737  6 Ta 2.71-2.76
Ta 0.3737 0.3737 0.3737  6 Ta 2.71-2.76
Tl 0.7500 0.7500 0.7500  12 Ta 3.21, 4 Mo 3.35
Mo 0.0000 0.0000 0.0000  12 Ta 3.20, 4 Tl 3.35

=====

Ta2TlMo | GGA-PBE | optimized geometry

Properties
Final energy, eV/cell: -35.04
Total magnetization, μB per cell: 0.000

abc: 5.1346 5.1346 5.2370
angles: 81.83 81.83 33.27
Last column: nearest neighbours and their distance in Å.
Positions (direct):
Mo 0.2505 0.2505 0.2421  7 Ta 2.92-3.08, 2 Mo 2.94, 3 Tl 2.97-3.00
Ta 0.0008 0.0008 0.0014  3 Mo 2.92-2.98, 5 Ta 2.94-2.96, 4 Tl 2.98-3.02
Ta 0.7479 0.7479 0.7592  4 Mo 2.93-3.08, 5 Ta 2.94-2.96, 3 Tl 2.96-3.04
Tl 0.5008 0.5008 0.4973  2 Tl 2.94, 7 Ta 2.96-3.04, 3 Mo 2.97-3.00

=====

Ta2TlMo | GGA-PBE | optimized geometry

Properties
Final energy, eV/cell: -35.94
Total magnetization, μB per cell: 0.000

abc: 3.3664 3.3663 6.6047
angles: 90.00 90.00 90.00
Last column: nearest neighbours and their distance in Å.
Positions (direct):
Mo 0.5000 0.5000 0.7500  8 Ta 2.78
Ta 0.0000 0.0000 0.9682  4 Mo 2.78, 1 Ta 2.88, 4 Tl 3.02
Ta 0.0000 0.0000 0.5318  4 Mo 2.78, 1 Ta 2.88, 4 Tl 3.02
Tl 0.5000 0.5000 0.2500  8 Ta 3.02, 2 Mo 3.30, 4 Tl 3.37

=====

Ta2TlMo | GGA-PBE | optimized geometry

Properties
Final energy, eV/cell: -35.43
Total magnetization, μB per cell: 0.000

abc: 9.1746 9.1746 9.1746
angles: 19.82 19.82 19.82
Last column: nearest neighbours and their distance in Å.
Positions (direct):
Mo 0.7500 0.7500 0.7500  6 Ta 2.69
Ta 0.0098 0.0098 0.0098  3 Mo 2.69
Ta 0.4902 0.4902 0.4902  3 Mo 2.69
Tl 0.2500 0.2500 0.2500  6 Ta 3.10, 6 Tl 3.16

=====

Ta2TlMo | GGA-PBE | optimized geometry

Properties
Final energy, eV/cell: -34.88
Total magnetization, μB per cell: 0.000

abc: 4.7136 4.7136 4.7136
angles: 60.00 60.00 60.00
Last column: nearest neighbours and their distance in Å.
Positions (direct):
Mo 0.5000 0.5000 0.5000  4 Ta 2.89, 4 Tl 2.89
Ta 0.0000 0.0000 0.0000  4 Tl 2.89, 4 Ta 2.89
Ta 0.7500 0.7500 0.7500  4 Ta 2.89, 4 Mo 2.89
Tl 0.2500 0.2500 0.2500  4 Ta 2.89, 4 Mo 2.89

=====

Ta2TlMo | GGA-PBE | optimized geometry

Properties
Final energy, eV/cell: -35.14
Total magnetization, μB per cell: 0.000

abc: 9.1651 9.1651 9.1651
angles: 19.86 19.86 19.86
Last column: nearest neighbours and their distance in Å.
Positions (direct):
Mo 0.7420 0.7420 0.7420  3 Ta 2.65
Ta 0.0039 0.0039 0.0039  3 Mo 2.65, 3 Ta 2.83
Ta 0.2568 0.2568 0.2568  9 Ta 2.83-3.16, 3 Tl 3.10
Tl 0.4973 0.4973 0.4973  3 Mo 3.01, 3 Ta 3.10, 6 Tl 3.16

=====

Ta2TlMo | GGA-PBE | optimized geometry

Properties
Final energy, eV/cell: -35.51
Total magnetization, μB per cell: 0.000

abc: 4.6594 2.9160 5.6960
angles: 78.34 90.00 90.00
Last column: nearest neighbours and their distance in Å.
Positions (direct):
Mo 0.5000 0.7207 0.7844  3 Ta 2.61-2.76, 2 Mo 2.92
Ta 0.0000 0.9602 0.9886  2 Mo 2.76, 4 Ta 2.91-2.92, 2 Tl 2.91-2.98
Ta 0.5000 0.2545 0.2265  1 Mo 2.61, 4 Ta 2.91-2.92
Tl 0.0000 0.5645 0.5005  5 Ta 2.91-3.22, 2 Tl 2.92, 2 Mo 2.92

=====

Ta2TlMo | GGA-PBE | optimized geometry

Properties
Final energy, eV/cell: -35.34
Total magnetization, μB per cell: 0.000

abc: 5.0699 5.0699 5.0699
angles: 130.46 130.46 72.67
Last column: nearest neighbours and their distance in Å.
Positions (direct):
Mo 0.7500 0.2500 0.5000  8 Ta 2.95, 4 Tl 3.00
Ta 0.0000 0.0000 0.0000  4 Mo 2.95, 4 Tl 2.95, 4 Ta 3.00
Ta 0.5000 0.5000 0.0000  4 Tl 2.95, 4 Mo 2.95, 4 Ta 3.00
Tl 0.2500 0.7500 0.5000  8 Ta 2.95, 4 Mo 3.00

=====

TaTl2VMo | GGA-PBE | optimized geometry

Properties
Final energy, eV/cell: -28.24
Total magnetization, μB per cell: 1.193

abc: 5.2986 4.3657 5.2986
angles: 90.00 90.00 90.00
Last column: nearest neighbours and their distance in Å.
Positions (direct):
Tl 0.0000 0.0000 0.5000  2 Mo 2.65
Tl 0.5000 0.0000 0.0000  2 Mo 2.65
V 0.0000 0.5000 0.0000  2 Mo 2.18
Mo 0.0000 0.0000 0.0000  2 V 2.18
Ta 0.5000 0.5000 0.5000  8 Tl 3.43, 4 V 3.75

=====

TmTaMo4 | GGA-PBE | optimized geometry

Properties
Final energy, eV/cell: -59.50
Total magnetization, μB per cell: 0.000

abc: 5.3663 5.3663 5.3663
angles: 60.00 60.00 60.00
Last column: nearest neighbours and their distance in Å.
Positions (direct):
Mo 0.6249 0.6249 0.1254  6 Mo 2.68-2.69
Mo 0.6249 0.1254 0.6249  6 Mo 2.68-2.69
Mo 0.6249 0.6249 0.6249  6 Mo 2.68-2.69
Mo 0.1254 0.6249 0.6249  6 Mo 2.68-2.69
Tm 0.0000 0.0000 0.0000  12 Mo 3.15, 4 Ta 3.29
Ta 0.2500 0.2500 0.2500  12 Mo 3.15, 4 Tm 3.29